# 1
A plane-wave DFT calculation with PBE was carried out for Na3ZrPb after structural relaxation.

Cell lengths 5.833, 5.833, 5.833 Å; angles 90.00, 90.00, 90.00 degrees
Space group Pm-3m (No. 221)
Asymmetric unit:
Na 0.000 0.000 0.500 [3 per cell]
Zr 0.000 0.000 0.000 [1 per cell]
Pb 0.500 0.500 0.500 [1 per cell]

The energy relative to the lowest polymorph listed for this composition is 1.435 eV per formula unit. As for the density: 3073 kg/m3. The calculation puts the energy relative to the elements at 1.1832 eV per atom.

---

# 2
A plane-wave DFT calculation with PBE was carried out for KGa2I3 after structural relaxation.

Cell lengths 4.824, 4.824, 20.509 Å; angles 90.00, 90.00, 90.00 degrees
Space group I4/mmm (No. 139)
Asymmetric unit:
K 0.000 0.000 0.000 [2 per cell]
Ga 0.000 0.000 0.331 [4 per cell]
I 0.000 0.000 0.173 [4 per cell]
I 0.000 0.000 0.500 [2 per cell]

The energy relative to the lowest polymorph listed for this composition is 0.000 eV per formula unit. As for the density: 3892 kg/m3.

---

# 3
A plane-wave DFT calculation with PBE was carried out for NaTlBi2 after structural relaxation.

Cell lengths 5.5814, 5.5814, 14.1514 Å; angles 90.00, 90.00, 120.00 degrees
Space group R3m (No. 160, hexagonal axes)
Asymmetric unit:
Na 0.0000 0.0000 0.0000 [3 per cell]
Tl 0.0000 0.0000 0.7426 [3 per cell]
Bi 0.0000 0.0000 0.2630 [3 per cell]
Bi 0.0000 0.0000 0.4875 [3 per cell]

The energy relative to the lowest polymorph listed for this composition is 0.322 eV per formula unit. As for the density: 8420 kg/m3. The calculation puts the energy relative to the elements at -0.0819 eV per atom.

---

# 4
A plane-wave DFT calculation with PBE was carried out for BaLi2Zn after structural relaxation.

Cell lengths 4.7242, 4.7242, 17.8295 Å; angles 90.00, 90.00, 120.00 degrees
Space group R-3m (No. 166, hexagonal axes)
Asymmetric unit:
Ba 0.0000 0.0000 0.0000 [3 per cell]
Li 0.0000 0.0000 0.1938 [6 per cell]
Zn 0.0000 0.0000 0.5000 [3 per cell]

As for the density: 3131 kg/m3. The calculation puts the energy relative to the elements at -0.0445 eV per atom.

---

# 5
A plane-wave DFT calculation with PBE was carried out for NaErAu after structural relaxation.

Cell lengths 4.854, 4.854, 7.601 Å; angles 90.00, 90.00, 90.00 degrees
Space group P4/nmm (No. 129, origin choice 2)
Asymmetric unit:
Na 0.250 0.250 0.114 [2 per cell]
Er 0.250 0.750 0.500 [2 per cell]
Au 0.250 0.250 0.706 [2 per cell]

As for the density: 7180 kg/m3. The calculation puts the energy relative to the elements at -0.3677 eV per atom.

---

# 6
A plane-wave DFT calculation with PBE was carried out for ScSiCl after structural relaxation.

Cell lengths 6.478, 6.478, 6.478 Å; angles 90.00, 90.00, 90.00 degrees
Space group F-43m (No. 216)
Asymmetric unit:
Sc 0.000 0.000 0.000 [4 per cell]
Si 0.250 0.250 0.250 [4 per cell]
Cl 0.250 0.250 0.750 [4 per cell]

The calculation puts the final energy at -4.65 eV per atom. As for the density: 2651 kg/m3.

---

# 7
A plane-wave DFT calculation with PBE was carried out for Sc2TiVRe after structural relaxation.

Cell lengths 4.780, 4.780, 4.498 Å; angles 90.00, 90.00, 90.00 degrees
Space group P4/mmm (No. 123)
Asymmetric unit:
Sc 0.000 0.500 0.000 [2 per cell]
Ti 0.000 0.000 0.500 [1 per cell]
V 0.500 0.500 0.000 [1 per cell]
Re 0.500 0.500 0.500 [1 per cell]

As for the density: 6058 kg/m3. The calculation puts the energy relative to the elements at 0.8409 eV per atom.

---

# 8
A plane-wave DFT calculation with PBE was carried out for Nd2Ho5Fe2 after structural relaxation.

Cell lengths 20.097, 7.015, 6.997 Å; angles 90.00, 90.00, 90.00 degrees
Space group Cmce (No. 64)
Asymmetric unit:
Nd 0.232 0.000 0.000 [8 per cell]
Ho 0.000 0.000 0.000 [4 per cell]
Ho 0.105 0.181 0.322 [16 per cell]
Fe 0.000 0.110 0.607 [8 per cell]

As for the density: 8247 kg/m3. The calculation puts the energy relative to the elements at 0.0298 eV per atom.

---

Number 1: spin magnetization 0.635 μB per atom. Number 2: spin magnetization 0.000 μB per atom. Number 3: spin magnetization 0.000 μB per atom. Number 4: spin magnetization 0.000 μB per atom. Number 5: spin magnetization 0.000 μB per atom. Number 6: spin magnetization 0.000 μB per atom. Number 7: spin magnetization 0.000 μB per atom. Number 8: spin magnetization 0.193 μB per atom.